P:
The following is a PBE calculation of a geometry-optimized LiCaGa2Pt structure, from Alexandria.

## Properties
- space group = No. 123
- mass density (Mg/m³) = 5.66
- V (Å³/atom) = 22.41

Cell: 4.821 4.821 4.820 Å, 90.00 90.00 90.00°
Fractional coordinates of all 5 atoms:
Ca1 0.500 0.500 0.500
Ga1 0.000 0.500 0.000
Ga2 0.500 0.000 0.000
Pt1 0.000 0.000 0.000
Li1 0.000 0.000 0.500


Q:
The following is a PBE calculation of a geometry-optimized LiCaGa2Pt structure, from Alexandria.

## Properties
- space group = No. 119
- mass density (Mg/m³) = 6.56
- V (Å³/atom) = 19.31

Cell: 4.277 4.277 6.083 Å, 110.58 110.58 90.00°
Fractional coordinates of all 5 atoms:
Li1 0.750 0.250 0.500
Ca1 0.000 0.000 0.000
Ga1 0.622 0.622 0.244
Ga2 0.378 0.378 0.756
Pt1 0.250 0.750 0.500


Short version: Q is the most stable of them.


P:
The following is a PBE calculation of a geometry-optimized Sr2LiCaGa structure, from Alexandria.

## Properties
- space group = No. 123
- mass density (Mg/m³) = 2.42
- V (Å³/atom) = 40.06

Cell: 6.256 6.256 5.117 Å, 90.00 90.00 90.00°
Fractional coordinates of all 5 atoms:
Sr1 0.000 0.500 0.000
Sr2 0.500 0.000 0.000
Ca1 0.500 0.500 0.500
Ga1 0.000 0.000 0.000
Li1 0.000 0.000 0.500


Q:
The following is a PBE calculation of a geometry-optimized Sr2LiCaGa structure, from Alexandria.

## Properties
- space group = No. 123
- mass density (Mg/m³) = 2.15
- V (Å³/atom) = 45.17

Cell: 6.211 6.211 5.855 Å, 90.00 90.00 90.00°
Fractional coordinates of all 5 atoms:
Sr1 0.000 0.500 0.000
Sr2 0.500 0.000 0.000
Ca1 0.000 0.000 0.500
Ga1 0.000 0.000 0.000
Li1 0.500 0.500 0.500


Short version: Q is the most stable of them.


P:
The following is a PBE calculation of a geometry-optimized CaMg2Ga6 structure, from Alexandria.

## Properties
- space group = No. 191
- mass density (Mg/m³) = 4.70
- V (Å³/atom) = 19.89

Cell: 3.396 7.803 7.803 Å, 120.00 90.00 90.00°
Fractional coordinates of all 9 atoms:
Ca1 0.000 0.000 0.000
Mg1 0.000 0.333 0.667
Mg2 0.000 0.667 0.333
Ga1 0.500 0.338 0.338
Ga2 0.500 0.662 0.662
Ga3 0.500 0.000 0.662
Ga4 0.500 0.662 0.000
Ga5 0.500 0.338 0.000
Ga6 0.500 0.000 0.338


Q:
The following is a PBE calculation of a geometry-optimized CaMg2Ga6 structure, from Alexandria.

## Properties
- space group = No. 71
- mass density (Mg/m³) = 4.50
- V (Å³/atom) = 20.77

Cell: 4.135 7.501 7.501 Å, 57.83 74.00 74.00°
Fractional coordinates of all 9 atoms:
Ca1 0.500 0.500 0.500
Mg1 0.380 0.120 0.120
Mg2 0.620 0.880 0.880
Ga1 0.190 0.499 0.121
Ga2 0.810 0.501 0.879
Ga3 0.810 0.879 0.501
Ga4 0.000 0.177 0.823
Ga5 0.000 0.823 0.177
Ga6 0.190 0.121 0.499


Short version: Q is the most stable of them.


P:
The following is a PBE calculation of a geometry-optimized Ca3MgGa structure, from Alexandria.

## Properties
- space group = No. 221
- mass density (Mg/m³) = 2.35
- V (Å³/atom) = 30.24

Cell: 7.684 7.684 7.684 Å, 90.00 90.00 90.00°
Fractional coordinates of all 15 atoms:
Ca1 0.500 0.500 0.500
Ca2 0.231 0.231 0.231
Ca3 0.769 0.769 0.231
Ca4 0.769 0.231 0.769
Ca5 0.231 0.769 0.769
Ca6 0.231 0.231 0.769
Ca7 0.769 0.769 0.769
Ca8 0.231 0.769 0.231
Ca9 0.769 0.231 0.231
Mg1 0.000 0.500 0.500
Mg2 0.500 0.000 0.500
Mg3 0.500 0.500 0.000
Ga1 0.500 0.000 0.000
Ga2 0.000 0.500 0.000
Ga3 0.000 0.000 0.500


Q:
The following is a PBE calculation of a geometry-optimized Ca3MgGa structure, from Alexandria.

## Properties
- space group = No. 221
- mass density (Mg/m³) = 1.85
- V (Å³/atom) = 38.54

Cell: 5.776 5.776 5.776 Å, 90.00 90.00 90.00°
Fractional coordinates of all 5 atoms:
Ca1 0.000 0.500 0.000
Ca2 0.000 0.000 0.500
Ca3 0.500 0.000 0.000
Mg1 0.500 0.500 0.500
Ga1 0.000 0.000 0.000


Short version: P is the most stable of them.


P:
The following is a PBE calculation of a geometry-optimized CaMg4Ga structure, from Alexandria.

## Properties
- space group = No. 51
- mass density (Mg/m³) = 2.34
- V (Å³/atom) = 24.51

Cell: 4.389 7.775 8.618 Å, 90.00 90.00 90.00°
Fractional coordinates of all 12 atoms:
Ca1 0.000 0.611 0.750
Ca2 0.000 0.389 0.250
Mg1 0.000 0.000 0.500
Mg2 0.000 0.000 0.000
Mg3 0.500 0.954 0.750
Mg4 0.500 0.046 0.250
Mg5 0.500 0.693 0.059
Mg6 0.500 0.307 0.941
Mg7 0.500 0.693 0.441
Mg8 0.500 0.307 0.559
Ga1 0.000 0.215 0.750
Ga2 0.000 0.785 0.250


Q:
The following is a PBE calculation of a geometry-optimized CaMg4Ga structure, from Alexandria.

## Properties
- space group = No. 216
- mass density (Mg/m³) = 2.26
- V (Å³/atom) = 25.40

Cell: 5.995 5.995 5.995 Å, 60.00 60.00 60.00°
Fractional coordinates of all 6 atoms:
Ca1 0.250 0.250 0.250
Mg1 0.625 0.625 0.124
Mg2 0.625 0.124 0.625
Mg3 0.625 0.625 0.625
Mg4 0.124 0.625 0.625
Ga1 0.000 0.000 0.000


Short version: P is the most stable of them.


P:
The following is a PBE calculation of a geometry-optimized Ca2Mg2Ga structure, from Alexandria.

## Properties
- space group = No. 127
- mass density (Mg/m³) = 2.34
- V (Å³/atom) = 28.18

Cell: 7.344 7.344 5.225 Å, 90.00 90.00 90.00°
Fractional coordinates of all 10 atoms:
Ca1 0.178 0.678 0.500
Ca2 0.678 0.822 0.500
Ca3 0.822 0.322 0.500
Ca4 0.322 0.178 0.500
Mg1 0.360 0.860 0.000
Mg2 0.860 0.640 0.000
Mg3 0.640 0.140 0.000
Mg4 0.140 0.360 0.000
Ga1 0.000 0.000 0.000
Ga2 0.500 0.500 0.000


Q:
The following is a PBE calculation of a geometry-optimized Ca2Mg2Ga structure, from Alexandria.

## Properties
- space group = No. 127
- mass density (Mg/m³) = 2.10
- V (Å³/atom) = 31.33

Cell: 8.131 8.131 4.739 Å, 90.00 90.00 90.00°
Fractional coordinates of all 10 atoms:
Ca1 0.342 0.842 0.000
Ca2 0.842 0.658 0.000
Ca3 0.658 0.158 0.000
Ca4 0.158 0.342 0.000
Mg1 0.143 0.643 0.500
Mg2 0.643 0.857 0.500
Mg3 0.857 0.357 0.500
Mg4 0.357 0.143 0.500
Ga1 0.000 0.000 0.000
Ga2 0.500 0.500 0.000


Short version: P is the most stable of them.


P:
The following is a PBE calculation of a geometry-optimized SrCa2MgGa structure, from Alexandria.

## Properties
- space group = No. 123
- mass density (Mg/m³) = 1.68
- V (Å³/atom) = 51.63

Cell: 6.603 5.922 6.603 Å, 90.00 90.00 90.00°
Fractional coordinates of all 5 atoms:
Sr1 0.000 0.000 0.000
Ca1 0.000 0.000 0.500
Ca2 0.500 0.000 0.000
Mg1 0.000 0.500 0.000
Ga1 0.500 0.500 0.500


Q:
The following is a PBE calculation of a geometry-optimized SrCa2MgGa structure, from Alexandria.

## Properties
- space group = No. 123
- mass density (Mg/m³) = 2.36
- V (Å³/atom) = 36.85

Cell: 5.894 5.894 5.304 Å, 90.00 90.00 90.00°
Fractional coordinates of all 5 atoms:
Sr1 0.500 0.500 0.500
Ca1 0.000 0.500 0.000
Ca2 0.500 0.000 0.000
Mg1 0.000 0.000 0.500
Ga1 0.000 0.000 0.000


Short version: Q is the most stable of them.